[1]
A relaxed Tl3Hg crystal, computed with PBEsol.

abc: 3.884 5.239 6.242
angles: 114.81 108.12 90.00
Positions (direct):
Tl 0.737 0.737 0.474
Tl 0.263 0.263 0.526
Tl 0.500 0.000 0.000
Hg 0.000 0.500 0.000

Values from the calculation:
E_tot, eV for the cell shown: -8.46
Energy of formation, eV/atom: 0.00
Total magnetic moment, μB/f.u.: 0.00

=====

[2]
A relaxed TlHg2 crystal, computed with PBEsol.

abc: 4.709 4.266 4.266
angles: 90.00 90.00 90.00
Positions (direct):
Tl 0.000 0.000 0.000
Hg 0.500 0.000 0.500
Hg 0.500 0.500 0.000

Values from the calculation:
E_tot, eV for the cell shown: -3.57
Energy of formation, eV/atom: 0.06
Total magnetic moment, μB/f.u.: 0.00

=====

[3]
A relaxed Tl3Hg crystal, computed with PBEsol.

abc: 4.753 4.753 4.753
angles: 90.00 90.00 90.00
Positions (direct):
Tl 0.000 0.500 0.500
Tl 0.500 0.000 0.500
Tl 0.500 0.500 0.000
Hg 0.000 0.000 0.000

Values from the calculation:
E_tot, eV for the cell shown: -8.41
Energy of formation, eV/atom: 0.01
Total magnetic moment, μB/f.u.: 0.00

=====

[4]
A relaxed TlHg2 crystal, computed with PBEsol.

abc: 3.257 9.023 9.023
angles: 120.00 90.00 90.00
Positions (direct):
Hg 0.000 0.688 0.688
Hg 0.000 0.000 0.312
Hg 0.000 0.312 0.000
Hg 0.500 0.355 0.355
Hg 0.500 0.000 0.645
Hg 0.500 0.645 0.000
Tl 0.000 0.667 0.333
Tl 0.000 0.333 0.667
Tl 0.500 0.000 0.000

Values from the calculation:
E_tot, eV for the cell shown: -11.21
Energy of formation, eV/atom: 0.01
Total magnetic moment, μB/f.u.: 0.00

=====

[5]
A relaxed TlHg2 crystal, computed with PBEsol.

abc: 4.698 6.561 9.795
angles: 90.00 90.00 90.00
Positions (direct):
Hg 0.750 0.383 0.253
Hg 0.250 0.117 0.753
Hg 0.750 0.883 0.247
Hg 0.250 0.617 0.747
Hg 0.750 0.373 0.579
Hg 0.250 0.127 0.079
Hg 0.750 0.873 0.921
Hg 0.250 0.627 0.421
Tl 0.750 0.868 0.591
Tl 0.250 0.632 0.091
Tl 0.750 0.368 0.909
Tl 0.250 0.132 0.409

Values from the calculation:
E_tot, eV for the cell shown: -15.31
Energy of formation, eV/atom: -0.02
Total magnetic moment, μB/f.u.: 0.00

=====

[6]
A relaxed TlHg2 crystal, computed with PBEsol.

abc: 3.353 4.470 5.771
angles: 112.79 106.89 90.00
Positions (direct):
Tl 0.000 0.000 0.000
Hg 0.672 0.672 0.344
Hg 0.328 0.328 0.656

Values from the calculation:
E_tot, eV for the cell shown: -3.83
Energy of formation, eV/atom: -0.02
Total magnetic moment, μB/f.u.: 0.00

=====

[7]
A relaxed Tl3Hg crystal, computed with PBEsol.

abc: 5.177 5.177 5.459
angles: 118.31 118.31 90.00
Positions (direct):
Tl 0.750 0.250 0.500
Tl 0.500 0.500 0.000
Tl 0.250 0.750 0.500
Hg 0.000 0.000 0.000

Values from the calculation:
E_tot, eV for the cell shown: -8.41
Energy of formation, eV/atom: 0.01
Total magnetic moment, μB/f.u.: 0.00

=====

[8]
A relaxed Tl3Hg crystal, computed with PBEsol.

abc: 3.354 3.354 11.099
angles: 90.00 90.00 120.00
Positions (direct):
Tl 0.000 0.000 0.500
Tl 0.333 0.667 0.761
Tl 0.333 0.667 0.239
Hg 0.000 0.000 0.000

Values from the calculation:
E_tot, eV for the cell shown: -8.41
Energy of formation, eV/atom: 0.01
Total magnetic moment, μB/f.u.: 0.00

=====

[9]
A relaxed TlHg crystal, computed with PBEsol.

abc: 3.364 3.364 5.307
angles: 90.00 90.00 120.00
Positions (direct):
Tl 0.333 0.667 0.500
Hg 0.000 0.000 0.000

Values from the calculation:
E_tot, eV for the cell shown: -3.18
Energy of formation, eV/atom: 0.01
Total magnetic moment, μB/f.u.: 0.00

=====

[10]
A relaxed TlHg crystal, computed with PBEsol.

abc: 4.539 4.539 5.971
angles: 112.34 112.34 90.00
Positions (direct):
Tl 0.750 0.250 0.500
Tl 0.500 0.500 0.000
Hg 0.250 0.750 0.500
Hg 0.000 0.000 0.000

Values from the calculation:
E_tot, eV for the cell shown: -6.42
Energy of formation, eV/atom: -0.01
Total magnetic moment, μB/f.u.: 0.00

=====

[11]
A relaxed Tl3Hg5 crystal, computed with PBEsol.

abc: 5.953 8.883 8.883
angles: 83.55 70.42 70.42
Positions (direct):
Hg 0.750 0.500 0.500
Hg 0.250 0.500 0.500
Hg 0.438 0.817 0.307
Hg 0.562 0.183 0.693
Hg 0.938 0.307 0.817
Hg 0.062 0.693 0.183
Hg 0.245 0.817 0.693
Hg 0.755 0.183 0.307
Hg 0.255 0.307 0.183
Hg 0.745 0.693 0.817
Tl 0.750 0.000 0.000
Tl 0.250 0.000 0.000
Tl 0.316 0.500 0.869
Tl 0.684 0.500 0.131
Tl 0.816 0.869 0.500
Tl 0.184 0.131 0.500

Values from the calculation:
E_tot, eV for the cell shown: -21.22
Energy of formation, eV/atom: 0.01
Total magnetic moment, μB/f.u.: 0.00

=====

[12]
A relaxed Tl3Hg crystal, computed with PBEsol.

abc: 3.572 3.668 8.257
angles: 90.00 90.00 90.00
Positions (direct):
Tl 0.500 0.500 0.767
Tl 0.000 0.000 0.500
Tl 0.500 0.500 0.233
Hg 0.000 0.000 0.000

Values from the calculation:
E_tot, eV for the cell shown: -8.45
Energy of formation, eV/atom: 0.00
Total magnetic moment, μB/f.u.: 0.00

=====

[13]
A relaxed TlHg2 crystal, computed with PBEsol.

abc: 3.378 6.978 6.850
angles: 103.98 90.00 104.01
Positions (direct):
Hg 0.502 0.004 0.728
Hg 0.831 0.661 0.416
Hg 0.169 0.339 0.584
Hg 0.498 0.996 0.272
Tl 0.156 0.312 0.085
Tl 0.844 0.688 0.915

Values from the calculation:
E_tot, eV for the cell shown: -7.64
Energy of formation, eV/atom: -0.02
Total magnetic moment, μB/f.u.: 0.00

=====

[14]
A relaxed TlHg crystal, computed with PBEsol.

abc: 3.368 3.368 5.624
angles: 72.58 72.58 60.00
Positions (direct):
Tl 0.500 0.500 0.500
Hg 0.000 0.000 0.000

Values from the calculation:
E_tot, eV for the cell shown: -3.20
Energy of formation, eV/atom: 0.00
Total magnetic moment, μB/f.u.: 0.00

=====

[15]
A relaxed TlHg crystal, computed with PBEsol.

abc: 3.455 6.084 8.404
angles: 111.91 90.00 106.49
Positions (direct):
Hg 0.010 0.019 0.031
Hg 0.345 0.691 0.715
Hg 0.387 0.773 0.233
Tl 0.697 0.395 0.364
Tl 0.029 0.057 0.570
Tl 0.699 0.398 0.921

Values from the calculation:
E_tot, eV for the cell shown: -9.65
Energy of formation, eV/atom: -0.01
Total magnetic moment, μB/f.u.: 0.00

=====

[16]
A relaxed TlHg2 crystal, computed with PBEsol.

abc: 6.015 6.015 6.015
angles: 60.00 60.00 60.00
Positions (direct):
Hg 0.125 0.125 0.125
Hg 0.125 0.125 0.625
Hg 0.125 0.625 0.125
Hg 0.625 0.125 0.125
Tl 0.500 0.500 0.500
Tl 0.750 0.750 0.750

Values from the calculation:
E_tot, eV for the cell shown: -7.50
Energy of formation, eV/atom: 0.00
Total magnetic moment, μB/f.u.: 0.00

=====

[17]
A relaxed TlHg2W crystal, computed with PBEsol.

abc: 2.910 4.877 6.794
angles: 111.03 102.37 90.00
Positions (direct):
Hg 0.699 0.699 0.397
Hg 0.301 0.301 0.603
Tl 0.500 0.000 0.000
W 0.000 0.500 0.000

Values from the calculation:
E_tot, eV for the cell shown: -14.88
Energy of formation, eV/atom: 0.67
Total magnetic moment, μB/f.u.: 0.55

=====

[18]
A relaxed TlHg2W crystal, computed with PBEsol.

abc: 4.926 4.926 4.926
angles: 60.00 60.00 60.00
Positions (direct):
Hg 0.250 0.250 0.250
Hg 0.750 0.750 0.750
Tl 0.000 0.000 0.000
W 0.500 0.500 0.500

Values from the calculation:
E_tot, eV for the cell shown: -13.20
Energy of formation, eV/atom: 1.09
Total magnetic moment, μB/f.u.: 2.90

=====

[19]
A relaxed TlHg2W crystal, computed with PBEsol.

abc: 2.974 4.804 5.809
angles: 90.00 98.94 90.00
Positions (direct):
Hg 0.901 0.000 0.727
Hg 0.099 0.000 0.273
Tl 0.500 0.500 0.000
W 0.500 0.500 0.500

Values from the calculation:
E_tot, eV for the cell shown: -14.44
Energy of formation, eV/atom: 0.78
Total magnetic moment, μB/f.u.: 0.00

=====

[20]
A relaxed TlHg2W crystal, computed with PBEsol.

abc: 2.903 2.903 9.991
angles: 90.00 90.00 90.00
Positions (direct):
Hg 0.000 0.000 0.973
Hg 0.500 0.500 0.238
Tl 0.000 0.000 0.525
W 0.500 0.500 0.764

Values from the calculation:
E_tot, eV for the cell shown: -14.87
Energy of formation, eV/atom: 0.67
Total magnetic moment, μB/f.u.: 0.00

=====

[21]
A relaxed TlHgW crystal, computed with PBEsol.

abc: 3.023 3.023 7.478
angles: 90.00 90.00 120.00
Positions (direct):
Hg 0.000 0.000 0.017
Tl 0.333 0.667 0.655
W 0.667 0.333 0.328

Values from the calculation:
E_tot, eV for the cell shown: -14.62
Energy of formation, eV/atom: 0.80
Total magnetic moment, μB/f.u.: 0.00

=====

[22]
A relaxed YTlHg crystal, computed with PBEsol.

abc: 4.826 4.826 4.826
angles: 60.00 60.00 60.00
Positions (direct):
Y 0.500 0.500 0.500
Tl 0.000 0.000 0.000
Hg 0.250 0.250 0.250

Values from the calculation:
E_tot, eV for the cell shown: -11.24
Energy of formation, eV/atom: -0.41
Total magnetic moment, μB/f.u.: 0.00

=====

[23]
A relaxed Y3TlHg crystal, computed with PBEsol.

abc: 5.612 5.612 5.612
angles: 90.00 90.00 90.00
Positions (direct):
Y 0.000 0.500 0.000
Y 0.000 0.000 0.500
Y 0.500 0.000 0.000
Tl 0.000 0.000 0.000
Hg 0.500 0.500 0.500

Values from the calculation:
E_tot, eV for the cell shown: -22.00
Energy of formation, eV/atom: 0.33
Total magnetic moment, μB/f.u.: 1.56

=====

[24]
A relaxed YTlHg crystal, computed with PBEsol.

abc: 3.601 4.855 4.855
angles: 120.00 90.00 90.00
Positions (direct):
Y 0.326 0.667 0.333
Tl 0.743 0.333 0.667
Hg 0.931 0.000 0.000

Values from the calculation:
E_tot, eV for the cell shown: -11.27
Energy of formation, eV/atom: -0.42
Total magnetic moment, μB/f.u.: 0.00

=====

[25]
A relaxed YTlHg crystal, computed with PBEsol.

abc: 4.949 4.949 4.949
angles: 60.00 60.00 60.00
Positions (direct):
Hg 0.000 0.000 0.000
Tl 0.500 0.500 0.500
Y 0.250 0.250 0.250

Values from the calculation:
E_tot, eV for the cell shown: -10.34
Energy of formation, eV/atom: -0.11
Total magnetic moment, μB/f.u.: 0.00

=====

[26]
A relaxed YTlHg crystal, computed with PBEsol.

abc: 5.127 5.127 6.394
angles: 90.00 90.00 120.00
Positions (direct):
Y 0.333 0.667 0.750
Y 0.667 0.333 0.250
Tl 0.000 0.000 0.000
Tl 0.000 0.000 0.500
Hg 0.667 0.333 0.750
Hg 0.333 0.667 0.250

Values from the calculation:
E_tot, eV for the cell shown: -22.80
Energy of formation, eV/atom: -0.46
Total magnetic moment, μB/f.u.: 0.00

=====

[27]
A relaxed Tl2ZnHg2 crystal, computed with PBEsol.

abc: 4.357 4.357 7.874
angles: 106.06 106.06 90.00
Positions (direct):
Zn 0.000 0.000 0.000
Tl 0.250 0.750 0.500
Tl 0.750 0.250 0.500
Hg 0.406 0.406 0.811
Hg 0.594 0.594 0.189

Values from the calculation:
E_tot, eV for the cell shown: -6.57
Energy of formation, eV/atom: 0.28
Total magnetic moment, μB/f.u.: 0.00

=====

[28]
A relaxed TlZnHg2 crystal, computed with PBEsol.

abc: 4.200 4.662 4.662
angles: 90.00 90.00 90.00
Positions (direct):
Hg 0.000 0.000 0.500
Hg 0.000 0.500 0.000
Tl 0.500 0.500 0.500
Zn 0.500 0.000 0.000

Values from the calculation:
E_tot, eV for the cell shown: -4.93
Energy of formation, eV/atom: 0.10
Total magnetic moment, μB/f.u.: 0.00

=====

[29]
A relaxed Tl2ZnHg crystal, computed with PBEsol.

abc: 3.473 5.341 6.000
angles: 115.04 106.83 90.00
Positions (direct):
Zn 0.511 0.495 0.023
Tl 0.992 0.987 0.984
Tl 0.779 0.288 0.557
Hg 0.218 0.730 0.436

Values from the calculation:
E_tot, eV for the cell shown: -7.06
Energy of formation, eV/atom: 0.09
Total magnetic moment, μB/f.u.: 0.00